Entry 1:
The following is a PBE calculation of HoEr3Th2As6 after structural relaxation, from Alexandria.

Output
ΔH_f (0 K), eV per atom: -1.482
Space group: C2/m
Magnetic moment, μB per cell: 0.00

Cell: 9.264 9.264 8.275 Å, 102.75 102.75 25.93°
Atoms (fractional coordinates):
Ho  0.000  0.000  0.000
Er  0.000  0.000  0.500
Er  0.334  0.334  0.166
Er  0.666  0.666  0.834
Th  0.335  0.335  0.670
Th  0.665  0.665  0.330
As  0.165  0.165  0.589
As  0.167  0.167  0.076
As  0.497  0.497  0.249
As  0.503  0.503  0.751
As  0.833  0.833  0.924
As  0.835  0.835  0.411

---

Entry 2:
The following is a PBE calculation of NdAl4Au after structural relaxation, from Alexandria.

Output
ΔH_f (0 K), eV per atom: -0.281
Space group: P-1
Magnetic moment, μB per cell: 0.00

Cell: 4.624 5.382 10.204 Å, 105.23 103.07 90.09°
Atoms (fractional coordinates):
Nd  0.250  0.234  0.000
Nd  0.750  0.766  0.000
Al  0.076  0.000  0.652
Al  0.141  0.561  0.781
Al  0.359  0.781  0.219
Al  0.425  0.350  0.349
Al  0.575  0.650  0.651
Al  0.641  0.219  0.781
Al  0.859  0.439  0.219
Al  0.924  0.000  0.348
Au  0.000  0.500  0.500
Au  0.500  0.000  0.500

---

Entry 3:
The following is a PBE calculation of NaZnPt2 after structural relaxation, from Alexandria.

Output
ΔH_f (0 K), eV per atom: 0.038
Space group: I-42d
Magnetic moment, μB per cell: 0.00

Cell: 9.315 9.315 9.315 Å, 150.36 150.36 42.41°
Atoms (fractional coordinates):
Na  0.000  0.000  0.000
Na  0.750  0.250  0.500
Zn  0.250  0.750  0.500
Zn  0.500  0.500  0.000
Pt  0.295  0.625  0.170
Pt  0.375  0.545  0.670
Pt  0.455  0.125  0.830
Pt  0.875  0.705  0.330

---

Entry 4:
The following is a PBE calculation of Np2Tl3HSe6 after structural relaxation, from Alexandria.

Output
Calculated total energy, eV/atom: -5.29
Space group: C2/m
Magnetic moment, μB per cell: 4.31

Cell: 9.636 9.636 9.869 Å, 93.88 93.88 24.22°
Atoms (fractional coordinates):
Np  0.190  0.190  0.341
Np  0.810  0.810  0.659
Tl  0.089  0.089  0.965
Tl  0.500  0.500  0.500
Tl  0.911  0.911  0.035
H  0.500  0.500  0.000
Se  0.052  0.052  0.278
Se  0.284  0.284  0.837
Se  0.330  0.330  0.463
Se  0.670  0.670  0.537
Se  0.716  0.716  0.163
Se  0.948  0.948  0.722

---

Entry 5:
The following is a PBE calculation of Li2Tc3 after structural relaxation, from Alexandria.

Output
ΔH_f (0 K), eV per atom: 0.938
Space group: P-3m1
Magnetic moment, μB per cell: 2.37
Energy relative to the lowest polymorph listed for this composition, meV per atom: 710

Cell: 3.989 3.989 5.081 Å, 90.00 90.00 120.00°
Atoms (fractional coordinates):
Li  0.333  0.667  0.372
Li  0.667  0.333  0.628
Tc  0.000  0.000  0.500
Tc  0.333  0.667  0.896
Tc  0.667  0.333  0.104

---

Entry 6:
The following is a PBE calculation of NpAs3Rh after structural relaxation, from Alexandria.

Output
ΔH_f (0 K), eV per atom: -0.523
Space group: Pbcm
Magnetic moment, μB per cell: 13.28

Cell: 11.828 5.701 5.645 Å, 90.00 90.00 90.00°
Atoms (fractional coordinates):
Np  0.191  0.008  0.250
Np  0.191  0.492  0.750
Np  0.809  0.508  0.250
Np  0.809  0.992  0.750
As  0.003  0.750  0.000
As  0.003  0.750  0.500
As  0.259  0.506  0.250
As  0.259  0.994  0.750
As  0.429  0.118  0.250
As  0.429  0.382  0.750
As  0.571  0.618  0.250
As  0.571  0.882  0.750
As  0.741  0.006  0.250
As  0.741  0.494  0.750
As  0.997  0.250  0.000
As  0.997  0.250  0.500
Rh  0.410  0.750  0.000
Rh  0.410  0.750  0.500
Rh  0.590  0.250  0.000
Rh  0.590  0.250  0.500

---

Entry 7:
The following is a PBE calculation of Na2PuF4 after structural relaxation, from Alexandria.

Output
Space group: I4/mmm
Magnetic moment, μB per cell: 5.44
Energy relative to the lowest polymorph listed for this composition, meV per atom: 190

Cell: 7.342 7.342 7.342 Å, 142.40 142.40 54.23°
Atoms (fractional coordinates):
Na  0.158  0.158  0.000
Na  0.842  0.842  0.000
Pu  0.500  0.500  0.000
F  0.000  0.500  0.500
F  0.324  0.324  0.000
F  0.500  0.000  0.500
F  0.676  0.676  0.000

---

Entry 8:
The following is a PBE calculation of Hf2AgHgSb after structural relaxation, from Alexandria.

Output
Calculated total energy, eV/atom: -4.48
Space group: P4/mmm
Magnetic moment, μB per cell: 0.00

Cell: 5.189 5.189 5.111 Å, 90.00 90.00 90.00°
Atoms (fractional coordinates):
Hf  0.000  0.500  0.000
Hf  0.500  0.000  0.000
Ag  0.000  0.000  0.000
Hg  0.500  0.500  0.500
Sb  0.000  0.000  0.500

---

Entry 9:
The following is a PBE calculation of Zn13Au2 after structural relaxation, from Alexandria.

Output
ΔH_f (0 K), eV per atom: 0.078
Space group: R-3m
Magnetic moment, μB per cell: 0.00
Energy relative to the lowest polymorph listed for this composition, meV per atom: 2

Cell: 7.668 7.668 7.668 Å, 54.27 54.27 54.27°
Atoms (fractional coordinates):
Zn  0.000  0.000  0.000
Zn  0.117  0.117  0.494
Zn  0.117  0.494  0.117
Zn  0.260  0.260  0.629
Zn  0.260  0.629  0.260
Zn  0.371  0.740  0.740
Zn  0.494  0.117  0.117
Zn  0.506  0.883  0.883
Zn  0.629  0.260  0.260
Zn  0.740  0.371  0.740
Zn  0.740  0.740  0.371
Zn  0.883  0.506  0.883
Zn  0.883  0.883  0.506
Au  0.132  0.132  0.132
Au  0.868  0.868  0.868

---

Entry 10:
The following is a PBE calculation of PmScHgSb after structural relaxation, from Alexandria.

Output
Calculated total energy, eV/atom: -4.43
Space group: F-43m
Magnetic moment, μB per cell: 0.00

Cell: 5.243 5.243 5.243 Å, 60.00 60.00 60.00°
Atoms (fractional coordinates):
Pm  0.000  0.000  0.000
Sc  0.500  0.500  0.500
Hg  0.750  0.750  0.750
Sb  0.250  0.250  0.250

---

Entry 11:
The following is a PBE calculation of Ca2GdIn after structural relaxation, from Alexandria.

Output
ΔH_f (0 K), eV per atom: -0.162
Space group: P4/mmm
Magnetic moment, μB per cell: 7.91
Energy relative to the lowest polymorph listed for this composition, meV per atom: 59

Cell: 3.616 3.616 10.020 Å, 90.00 90.00 90.00°
Atoms (fractional coordinates):
Ca  0.000  0.000  0.216
Ca  0.000  0.000  0.784
Gd  0.500  0.500  0.500
In  0.500  0.500  0.000

---

Entry 12:
The following is a PBE calculation of Sr2LiLaIr after structural relaxation, from Alexandria.

Output
ΔH_f (0 K), eV per atom: -0.197
Space group: P4/mmm
Magnetic moment, μB per cell: 0.00

Cell: 6.026 6.026 5.461 Å, 90.00 90.00 90.00°
Atoms (fractional coordinates):
Sr  0.000  0.500  0.000
Sr  0.500  0.000  0.000
Li  0.000  0.000  0.500
La  0.500  0.500  0.500
Ir  0.500  0.500  0.000